Density functional theory data (PBE) for crystalline KCrAsCl6 at its relaxed geometry.

Cell: 6.6176 6.8428 6.8690 Å, 93.68 91.93 58.90°
Last column: magnetic moment on the atom in μB.
Fractional coordinates of all 9 atoms:
K: 0.0279 0.9861 0.0003  0.00
Cr: 0.6754 0.6623 0.5001  3.58
As: 0.3529 0.3235 0.5000  0.04
Cl: 0.9736 0.3928 0.2828  -0.02
Cl: 0.3773 0.9949 0.6845  -0.01
Cl: 0.6213 0.3492 0.7201  0.02
Cl: 0.9741 0.6337 0.7171  -0.02
Cl: 0.3771 0.6277 0.3157  -0.01
Cl: 0.6201 0.0298 0.2794  0.02

The value obtained for the formation energy from raw total energies is -1.051 eV/atom. For the calculated volume, the calculation gives 29.5 Å³ per atom. Its space group is C2, No. 5.

Density functional theory data (PBE) for crystalline Sm2RuC at its relaxed geometry.

Cell: 3.5355 3.5355 8.3682 Å, 77.80 77.80 60.00°
Last column: magnetic moment on the atom in μB.
Fractional coordinates of all 4 atoms:
Ru: 0.0000 0.0000 0.0000  0.13
C: 0.5000 0.5000 0.5000  0.02
Sm: 0.1079 0.1079 0.6762  0.00
Sm: 0.8921 0.8921 0.3238  0.00

For the calculated volume, the calculation gives 22.0 Å³ per atom. Its space group is R-3m, No. 166. The energy of formation comes out at 0.505 eV per atom.